[1]
Entry from Alexandria: crystalline LiV2CrPd at its relaxed geometry (PBE).

Summary:
- E_tot (eV/cell) = -30.8
- density of states at the Fermi level (states/eV per cell) = 4.88
- magnetization (μB/atom) = 0.00
- formation enthalpy at 0 K (eV per atom) = 0.833

Lattice parameters (Å, degrees): 4.146 4.146 4.507 90.00 90.00 90.00
Sites, in units of the cell vectors:
Li: 0.000 0.000 0.000
V: 0.000 0.500 0.500
V: 0.500 0.000 0.500
Cr: 0.000 0.000 0.500
Pd: 0.500 0.500 0.000

---

[2]
Entry from Alexandria: crystalline MgTi2AlCd at its relaxed geometry (PBE).

Summary:
- E_tot (eV/cell) = -18.9
- density of states at the Fermi level (states/eV per cell) = 4.75
- magnetization (μB/atom) = 0.00
- formation enthalpy at 0 K (eV per atom) = 0.629

Lattice parameters (Å, degrees): 4.811 4.811 4.909 90.00 90.00 90.00
Sites, in units of the cell vectors:
Mg: 0.000 0.000 0.000
Ti: 0.000 0.500 0.500
Ti: 0.500 0.000 0.500
Al: 0.000 0.000 0.500
Cd: 0.500 0.500 0.000

---

[3]
Entry from Alexandria: crystalline NiAuBr at its relaxed geometry (PBE).

Summary:
- E_tot (eV/cell) = -9.4
- density of states at the Fermi level (states/eV per cell) = 4.62
- energy above the most stable polymorph in this dataset (eV per formula unit) = 0.77
- formation energy from raw total energies (kcal/mol of atoms) = 10.29
- magnetization (μB/atom) = 0.13

Lattice parameters (Å, degrees): 4.381 4.381 4.381 60.00 60.00 60.00
Sites, in units of the cell vectors:
Ni: 0.000 0.000 0.000
Au: 0.750 0.750 0.750
Br: 0.250 0.250 0.250

---

[4]
Entry from Alexandria: crystalline Tl2AgBr5 at its relaxed geometry (PBE).

Summary:
- E_tot (eV/cell) = -39.5
- density of states at the Fermi level (states/eV per cell) = 5.87
- formation energy from raw total energies (kcal/mol of atoms) = -10.98
- magnetization (μB/atom) = 0.00

Lattice parameters (Å, degrees): 7.672 7.672 14.469 90.00 90.00 136.41
Sites, in units of the cell vectors:
Tl: 0.132 0.868 0.571
Tl: 0.132 0.868 0.929
Tl: 0.868 0.132 0.071
Tl: 0.868 0.132 0.429
Ag: 0.220 0.780 0.250
Ag: 0.780 0.220 0.750
Br: 0.065 0.935 0.124
Br: 0.065 0.935 0.376
Br: 0.256 0.744 0.750
Br: 0.333 0.667 0.081
Br: 0.333 0.667 0.419
Br: 0.667 0.333 0.581
Br: 0.667 0.333 0.919
Br: 0.744 0.256 0.250
Br: 0.935 0.065 0.624
Br: 0.935 0.065 0.876

---

[5]
Entry from Alexandria: crystalline TbHgRhAu at its relaxed geometry (PBE).

Summary:
- E_tot (eV/cell) = -17.4
- density of states at the Fermi level (states/eV per cell) = 2.11
- magnetization (μB/atom) = 0.00
- formation enthalpy at 0 K (eV per atom) = -0.472

Lattice parameters (Å, degrees): 4.842 4.842 4.842 60.00 60.00 60.00
Sites, in units of the cell vectors:
Tb: 0.000 0.000 0.000
Hg: 0.500 0.500 0.500
Rh: 0.750 0.750 0.750
Au: 0.250 0.250 0.250

---

[6]
Entry from Alexandria: crystalline Li4TmIn15 at its relaxed geometry (PBE).

Summary:
- E_tot (eV/cell) = -56.6
- density of states at the Fermi level (states/eV per cell) = 7.34
- magnetization (μB/atom) = 0.00
- formation enthalpy at 0 K (eV per atom) = -0.170

Lattice parameters (Å, degrees): 4.501 4.501 23.594 90.00 90.00 90.00
Sites, in units of the cell vectors:
Li: 0.000 0.000 0.098
Li: 0.000 0.000 0.303
Li: 0.000 0.000 0.697
Li: 0.000 0.000 0.902
Tm: 0.000 0.000 0.500
In: 0.000 0.500 0.000
In: 0.000 0.500 0.199
In: 0.000 0.500 0.397
In: 0.000 0.500 0.603
In: 0.000 0.500 0.801
In: 0.500 0.000 0.000
In: 0.500 0.000 0.199
In: 0.500 0.000 0.397
In: 0.500 0.000 0.603
In: 0.500 0.000 0.801
In: 0.500 0.500 0.099
In: 0.500 0.500 0.300
In: 0.500 0.500 0.500
In: 0.500 0.500 0.700
In: 0.500 0.500 0.901

---

[7]
Entry from Alexandria: crystalline La3SiPd at its relaxed geometry (PBE).

Summary:
- E_tot (eV/cell) = -56.5
- density of states at the Fermi level (states/eV per cell) = 12.09
- energy above the most stable polymorph in this dataset (eV per formula unit) = 0.00
- formation energy from raw total energies (kcal/mol of atoms) = -13.16
- magnetization (μB/atom) = 0.00

Lattice parameters (Å, degrees): 4.314 9.473 6.946 90.00 90.00 90.00
Sites, in units of the cell vectors:
La: 0.250 0.052 0.223
La: 0.250 0.250 0.712
La: 0.250 0.448 0.223
La: 0.750 0.552 0.777
La: 0.750 0.750 0.288
La: 0.750 0.948 0.777
Si: 0.250 0.750 0.974
Si: 0.750 0.250 0.026
Pd: 0.250 0.750 0.593
Pd: 0.750 0.250 0.407

---

[8]
Entry from Alexandria: crystalline LiFe2Pt4 at its relaxed geometry (PBE).

Summary:
- E_tot (eV/cell) = -44.0
- density of states at the Fermi level (states/eV per cell) = 4.00
- magnetization (μB/atom) = 1.17
- formation enthalpy at 0 K (eV per atom) = -0.148

Lattice parameters (Å, degrees): 5.154 5.154 5.154 108.84 108.84 110.74
Sites, in units of the cell vectors:
Li: 0.000 0.000 0.000
Fe: 0.000 0.500 0.500
Fe: 0.500 0.000 0.500
Pt: 0.000 0.000 0.500
Pt: 0.000 0.500 0.000
Pt: 0.500 0.000 0.000
Pt: 0.500 0.500 0.500